Record 1
VASP calculation (GGA-PBE) on an optimized crystal structure of U4Ni6Ir7.

Summary:
The energy relative to the elements comes out at -0.399 eV per atom. As for the total energy: -148.65 eV/f.u. Its crystal system is cubic. As for the total magnetic moment: 3.960 Bohr magnetons per cell.

Cell and atoms, written as POSCAR:
```
U4Ni6Ir7
1.0
6.630 0.000 -2.344
-3.315 5.741 -2.344
0.000 0.000 7.032
Ni Ir U
6 7 4
direct
0.303 0.000 0.303
0.000 0.303 0.303
0.000 0.697 0.697
0.697 0.000 0.697
0.303 0.303 0.000
0.697 0.697 0.000
0.750 0.250 0.500
0.250 0.750 0.500
0.000 0.000 0.000
0.250 0.500 0.750
0.750 0.500 0.250
0.500 0.250 0.750
0.500 0.750 0.250
0.500 0.500 0.500
0.500 0.000 0.000
0.000 0.500 0.000
0.000 0.000 0.500
```

---

Record 2
VASP calculation (GGA-PBE) on an optimized crystal structure of U2Ni9Ir.

Summary:
The energy relative to the elements comes out at -0.074 eV per atom. As for the total energy: -84.35 eV/f.u. Its crystal system is trigonal. Its energy relative to the lowest polymorph listed for this composition is 0.00 eV per formula unit. As for the total magnetic moment: 1.010 Bohr magnetons per cell.

Cell and atoms, written as POSCAR:
```
U2Ni9Ir
1.0
4.851 0.000 0.000
2.426 4.202 0.000
2.426 1.401 7.879
Ni U Ir
9 2 1
direct
0.667 0.667 0.000
0.080 0.585 0.750
0.415 0.920 0.250
0.415 0.415 0.250
0.585 0.080 0.750
0.920 0.415 0.250
0.333 0.333 0.000
0.585 0.585 0.750
0.500 0.500 0.500
0.129 0.129 0.613
0.871 0.871 0.387
0.000 0.000 0.000
```

---

Record 3
VASP calculation (GGA-PBE) on an optimized crystal structure of U2Ni9Ir.

Summary:
The energy relative to the elements comes out at -0.048 eV per atom. As for the total energy: -84.04 eV/f.u. Its crystal system is tetragonal. Its energy relative to the lowest polymorph listed for this composition is 0.31 eV per formula unit. As for the total magnetic moment: 1.439 Bohr magnetons per cell.

Cell and atoms, written as POSCAR:
```
U2Ni9Ir
1.0
-2.577 -1.429 -2.465
1.056 -3.566 0.964
-7.473 -0.088 7.864
Ni U Ir
9 2 1
direct
0.500 0.500 0.331
0.500 0.000 0.841
0.500 0.500 0.000
0.000 0.500 0.500
0.000 0.500 0.841
0.500 0.000 0.500
0.500 0.000 0.159
0.000 0.500 0.159
0.500 0.500 0.669
0.000 0.000 0.682
0.000 0.000 0.318
0.000 0.000 0.000
```

---

Record 4
VASP calculation (GGA-PBE) on an optimized crystal structure of UNi2Ir.

Summary:
The energy relative to the elements comes out at -0.367 eV per atom. As for the total energy: -33.18 eV/f.u. Its crystal system is tetragonal. Its energy relative to the lowest polymorph listed for this composition is 0.00 eV per formula unit. As for the total magnetic moment: 1.083 Bohr magnetons per cell.

Cell and atoms, written as POSCAR:
```
UNi2Ir
1.0
3.927 0.000 0.000
0.000 3.920 0.000
0.000 0.000 3.920
Ir U Ni
1 1 2
direct
0.500 0.000 0.000
0.500 0.500 0.500
0.000 0.500 0.000
0.000 0.000 0.500
```

---

- Which formula does entry 1 have?
  U4Ni6Ir7

---

- Which formula does entry 3 have?
  U2Ni9Ir